Crystalline KTcHg3 at its relaxed geometry. Source: Alexandria via LeMat-Bulk, functional PBE-GGA.

VASP energy: -10.90 eV for the cell shown
Energy of formation: 293 meV/atom
SG: Pm-3m (221)

Cell lengths 5.374, 5.374, 5.374 Å; angles 90.00, 90.00, 90.00 degrees
Last column: magnetic moment on the atom in μB.
Atoms (fractional coordinates):
Hg (0.000, 0.000, 0.500)  0.03
Hg (0.000, 0.500, 0.000)  0.02
K (0.500, 0.500, 0.500)  -0.01
Hg (0.500, 0.000, 0.000)  -0.01
Tc (0.000, 0.000, 0.000)  1.39